# 1
First-principles (PBE-GGA) data for a geometry-optimized La2Sm5In structure, as listed in the Alexandria database.

Summary:
Calculated total energy in eV per cell: -36.9
Energy above the lowest structure with this stoichiometry in eV/atom: 0.0201
Space group: No. 139
Energy of formation from the pure elements in meV per atom: -83
M_tot in μB per cell: 0.000

```
data_La2Sm5In
_space_group_name_H-M_alt 'P 1'
_space_group_IT_number 1
_cell_length_a 7.1922
_cell_length_b 7.1922
_cell_length_c 7.1922
_cell_angle_alpha 120.38
_cell_angle_beta 120.38
_cell_angle_gamma 89.34
loop_
_space_group_symop_operation_xyz
'x,y,z'
loop_
_atom_site_label
_atom_site_type_symbol
_atom_site_fract_x
_atom_site_fract_y
_atom_site_fract_z
_atom_site_occupancy
La1 La 0.0000 0.5000 0.5000 1
La2 La 0.5000 0.0000 0.5000 1
Sm1 Sm 0.0000 0.0000 0.0000 1
Sm2 Sm 0.0000 0.0000 0.5000 1
Sm3 Sm 0.0000 0.5000 0.0000 1
Sm4 Sm 0.5000 0.0000 0.0000 1
Sm5 Sm 0.5000 0.5000 0.5000 1
In1 In 0.5000 0.5000 0.0000 1
```



# 2
First-principles (PBE-GGA) data for a geometry-optimized LiSi3Mo structure, as listed in the Alexandria database.

Summary:
ΔE_f (raw) in kJ/mol of formula units: 159
Calculated total energy in eV per cell: -27.4
Energy above the lowest structure with this stoichiometry in eV/atom: 0.0000
Space group: No. 221
M_tot in μB per cell: 0.000

```
data_LiSi3Mo
_space_group_name_H-M_alt 'P 1'
_space_group_IT_number 1
_cell_length_a 4.7612
_cell_length_b 4.7612
_cell_length_c 4.7612
_cell_angle_alpha 90.00
_cell_angle_beta 90.00
_cell_angle_gamma 90.00
loop_
_space_group_symop_operation_xyz
'x,y,z'
loop_
_atom_site_label
_atom_site_type_symbol
_atom_site_fract_x
_atom_site_fract_y
_atom_site_fract_z
_atom_site_occupancy
Li1 Li 0.0000 0.0000 0.0000 1
Si1 Si 0.0000 0.5000 0.5000 1
Si2 Si 0.5000 0.0000 0.5000 1
Si3 Si 0.5000 0.5000 0.0000 1
Mo1 Mo 0.5000 0.5000 0.5000 1
```



# 3
First-principles (PBE-GGA) data for a geometry-optimized CaBeHg3 structure, as listed in the Alexandria database.

Summary:
Calculated total energy in eV per cell: -2.7
Energy above the lowest structure with this stoichiometry in eV/atom: 0.8932
Space group: No. 221
Energy of formation from the pure elements in meV per atom: 784
M_tot in μB per cell: 0.000

```
data_CaBeHg3
_space_group_name_H-M_alt 'P 1'
_space_group_IT_number 1
_cell_length_a 6.1003
_cell_length_b 6.1003
_cell_length_c 6.1003
_cell_angle_alpha 90.00
_cell_angle_beta 90.00
_cell_angle_gamma 90.00
loop_
_space_group_symop_operation_xyz
'x,y,z'
loop_
_atom_site_label
_atom_site_type_symbol
_atom_site_fract_x
_atom_site_fract_y
_atom_site_fract_z
_atom_site_occupancy
Ca1 Ca 0.0000 0.0000 0.0000 1
Be1 Be 0.5000 0.5000 0.5000 1
Hg1 Hg 0.0000 0.0000 0.5000 1
Hg2 Hg 0.0000 0.5000 0.0000 1
Hg3 Hg 0.5000 0.0000 0.0000 1
```



# 4
First-principles (PBE-GGA) data for a geometry-optimized Er4Ga2Ag structure, as listed in the Alexandria database.

Summary:
Calculated total energy in eV per cell: -28.9
Energy above the lowest structure with this stoichiometry in eV/atom: 0.1253
Space group: No. 166
Energy of formation from the pure elements in meV per atom: -252
M_tot in μB per cell: 0.003

```
data_Er4Ga2Ag
_space_group_name_H-M_alt 'P 1'
_space_group_IT_number 1
_cell_length_a 9.4312
_cell_length_b 9.4312
_cell_length_c 9.4312
_cell_angle_alpha 29.94
_cell_angle_beta 29.94
_cell_angle_gamma 29.94
loop_
_space_group_symop_operation_xyz
'x,y,z'
loop_
_atom_site_label
_atom_site_type_symbol
_atom_site_fract_x
_atom_site_fract_y
_atom_site_fract_z
_atom_site_occupancy
Er1 Er 0.1198 0.1198 0.1198 1
Er2 Er 0.2958 0.2958 0.2958 1
Er3 Er 0.7042 0.7042 0.7042 1
Er4 Er 0.8802 0.8802 0.8802 1
Ga1 Ga 0.4040 0.4040 0.4040 1
Ga2 Ga 0.5960 0.5960 0.5960 1
Ag1 Ag 0.5000 0.5000 0.5000 1
```



# 5
First-principles (PBE-GGA) data for a geometry-optimized CdHgRu structure, as listed in the Alexandria database.

Summary:
Calculated total energy in eV per cell: -9.2
Energy above the lowest structure with this stoichiometry in eV/atom: 0.0000
Space group: No. 107
Energy of formation from the pure elements in meV per atom: 418
M_tot in μB per cell: 1.188

```
data_CdHgRu
_space_group_name_H-M_alt 'P 1'
_space_group_IT_number 1
_cell_length_a 6.6932
_cell_length_b 6.6932
_cell_length_c 6.6932
_cell_angle_alpha 154.15
_cell_angle_beta 154.15
_cell_angle_gamma 36.87
loop_
_space_group_symop_operation_xyz
'x,y,z'
loop_
_atom_site_label
_atom_site_type_symbol
_atom_site_fract_x
_atom_site_fract_y
_atom_site_fract_z
_atom_site_occupancy
Cd1 Cd 0.0000 0.0000 0.0000 1
Hg1 Hg 0.6927 0.6927 0.0000 1
Ru1 Ru 0.3483 0.3483 0.0000 1
```



# 6
First-principles (PBE-GGA) data for a geometry-optimized Na4Sc3GeTe8 structure, as listed in the Alexandria database.

Summary:
ΔE_f (raw) in kJ/mol of formula units: -1501
Calculated total energy in eV per cell: -69.6
Space group: No. 166
M_tot in μB per cell: 0.000

```
data_Na4Sc3GeTe8
_space_group_name_H-M_alt 'P 1'
_space_group_IT_number 1
_cell_length_a 8.9958
_cell_length_b 8.9958
_cell_length_c 8.9958
_cell_angle_alpha 56.15
_cell_angle_beta 56.15
_cell_angle_gamma 56.15
loop_
_space_group_symop_operation_xyz
'x,y,z'
loop_
_atom_site_label
_atom_site_type_symbol
_atom_site_fract_x
_atom_site_fract_y
_atom_site_fract_z
_atom_site_occupancy
Na1 Na 0.0000 0.0000 0.0000 1
Na2 Na 0.0000 0.5000 0.5000 1
Na3 Na 0.5000 0.0000 0.5000 1
Na4 Na 0.5000 0.5000 0.0000 1
Sc1 Sc 0.0000 0.0000 0.5000 1
Sc2 Sc 0.0000 0.5000 0.0000 1
Sc3 Sc 0.5000 0.0000 0.0000 1
Ge1 Ge 0.5000 0.5000 0.5000 1
Te1 Te 0.2388 0.7391 0.7391 1
Te2 Te 0.2405 0.2405 0.2405 1
Te3 Te 0.2609 0.2609 0.7612 1
Te4 Te 0.2609 0.7612 0.2609 1
Te5 Te 0.7391 0.2388 0.7391 1
Te6 Te 0.7391 0.7391 0.2388 1
Te7 Te 0.7595 0.7595 0.7595 1
Te8 Te 0.7612 0.2609 0.2609 1
```



Question: calculated total energy of number 2 (LiSi3Mo)?
Answer: -27.4 eV per cell



Question: Which value of calculated total energy does entry 6 give?
Answer: -69.6 eV per cell



What did the sixth record say?
First-principles (PBE-GGA) data for a geometry-optimized Na4Sc3GeTe8 structure, as listed in the Alexandria database.

Summary:
ΔE_f (raw) in kJ/mol of formula units: -1501
Calculated total energy in eV per cell: -69.6
Space group: No. 166
M_tot in μB per cell: 0.000

```
data_Na4Sc3GeTe8
_space_group_name_H-M_alt 'P 1'
_space_group_IT_number 1
_cell_length_a 8.9958
_cell_length_b 8.9958
_cell_length_c 8.9958
_cell_angle_alpha 56.15
_cell_angle_beta 56.15
_cell_angle_gamma 56.15
loop_
_space_group_symop_operation_xyz
'x,y,z'
loop_
_atom_site_label
_atom_site_type_symbol
_atom_site_fract_x
_atom_site_fract_y
_atom_site_fract_z
_atom_site_occupancy
Na1 Na 0.0000 0.0000 0.0000 1
Na2 Na 0.0000 0.5000 0.5000 1
Na3 Na 0.5000 0.0000 0.5000 1
Na4 Na 0.5000 0.5000 0.0000 1
Sc1 Sc 0.0000 0.0000 0.5000 1
Sc2 Sc 0.0000 0.5000 0.0000 1
Sc3 Sc 0.5000 0.0000 0.0000 1
Ge1 Ge 0.5000 0.5000 0.5000 1
Te1 Te 0.2388 0.7391 0.7391 1
Te2 Te 0.2405 0.2405 0.2405 1
Te3 Te 0.2609 0.2609 0.7612 1
Te4 Te 0.2609 0.7612 0.2609 1
Te5 Te 0.7391 0.2388 0.7391 1
Te6 Te 0.7391 0.7391 0.2388 1
Te7 Te 0.7595 0.7595 0.7595 1
Te8 Te 0.7612 0.2609 0.2609 1
```



Question: M_tot of number 3 (CaBeHg3)?
Answer: 0.000 μB per cell